(P)
{"formula": "Co3TeRu", "functional": "PBE", "state": "relaxed", "space_group": "No. 221", "cell": [[-3.719, -1.802, 1.851], [1.013, -4.002, -1.860], [2.376, -1.114, 3.690]], "species": ["Ru", "Co", "Co", "Co", "Te"], "frac_coords": [[0.000, 0.000, 0.000], [0.000, 0.000, 0.500], [0.500, 0.000, 0.000], [0.000, 0.500, 0.000], [0.500, 0.500, 0.500]]}



(Q)
{"formula": "Co3TeRu", "functional": "PBE", "state": "relaxed", "space_group": "No. 221", "cell": [[-0.392, 0.025, 4.547], [-3.963, -2.239, -0.329], [2.229, -3.976, 0.214]], "species": ["Te", "Co", "Co", "Co", "Ru"], "frac_coords": [[0.000, 0.000, 0.000], [0.000, 0.000, 0.500], [0.000, 0.500, 0.000], [0.500, 0.000, 0.000], [0.500, 0.500, 0.500]]}



It is (Q) that is the least stable of them.



(P)
{"formula": "Ti6CoRu", "functional": "PBE", "state": "relaxed", "space_group": "No. 12", "cell": [[5.529, -0.428, -0.455], [-2.455, 4.973, -0.455], [-1.002, -1.481, 5.303]], "species": ["Co", "Ti", "Ti", "Ti", "Ti", "Ti", "Ti", "Ru"], "frac_coords": [[0.500, 0.500, 0.500], [0.742, 0.742, 0.265], [0.941, 0.525, 0.748], [0.258, 0.258, 0.735], [0.059, 0.475, 0.252], [0.525, 0.941, 0.748], [0.475, 0.059, 0.252], [0.000, 0.000, 0.000]]}



(Q)
{"formula": "Ti6CoRu", "functional": "PBE", "state": "relaxed", "space_group": "No. 139", "cell": [[4.099, 0.000, 1.234], [-0.372, 4.082, 1.235], [0.012, 0.012, 7.384]], "species": ["Ti", "Ti", "Ti", "Ti", "Ti", "Ti", "Co", "Ru"], "frac_coords": [[0.887, 0.387, 0.226], [0.750, 0.750, 0.500], [0.387, 0.887, 0.226], [0.613, 0.113, 0.774], [0.250, 0.250, 0.500], [0.113, 0.613, 0.774], [0.500, 0.500, 0.000], [0.000, 0.000, 0.000]]}



It is (P) that is the least stable of them.



(P)
{"formula": "Ti2Co2Ru", "functional": "PBE", "state": "relaxed", "space_group": "No. 127", "cell": [[6.562, 0.000, 0.000], [0.000, 6.562, 0.000], [0.000, 0.000, 3.119]], "species": ["Ti", "Ti", "Ti", "Ti", "Co", "Co", "Co", "Co", "Ru", "Ru"], "frac_coords": [[0.681, 0.819, 0.500], [0.819, 0.319, 0.500], [0.319, 0.181, 0.500], [0.181, 0.681, 0.500], [0.122, 0.378, 0.000], [0.622, 0.122, 0.000], [0.878, 0.622, 0.000], [0.378, 0.878, 0.000], [0.500, 0.500, 0.000], [0.000, 0.000, 0.000]]}



(Q)
{"formula": "Ti2Co2Ru", "functional": "PBE", "state": "relaxed", "space_group": "No. 127", "cell": [[6.822, 0.000, 0.000], [0.000, 6.822, 0.000], [0.000, 0.000, 2.885]], "species": ["Co", "Co", "Co", "Co", "Ru", "Ru", "Ti", "Ti", "Ti", "Ti"], "frac_coords": [[0.141, 0.641, 0.500], [0.359, 0.141, 0.500], [0.859, 0.359, 0.500], [0.641, 0.859, 0.500], [0.000, 0.000, 0.000], [0.500, 0.500, 0.000], [0.659, 0.159, 0.000], [0.841, 0.659, 0.000], [0.159, 0.341, 0.000], [0.341, 0.841, 0.000]]}



It is (Q) that is the least stable of them.



(P)
{"formula": "TlCoRu2", "functional": "PBE", "state": "relaxed", "space_group": "No. 119", "cell": [[4.791, -0.033, -0.018], [1.604, 4.515, 0.018], [-3.186, -2.258, 2.777]], "species": ["Tl", "Co", "Ru", "Ru"], "frac_coords": [[0.500, 0.500, 0.000], [0.250, 0.750, 0.500], [0.000, 0.000, 0.000], [0.750, 0.250, 0.500]]}



(Q)
{"formula": "TlCoRu2", "functional": "PBE", "state": "relaxed", "space_group": "No. 123", "cell": [[-2.780, 0.287, -1.056], [-1.094, -0.709, 2.688], [0.017, 6.637, 1.756]], "species": ["Ru", "Ru", "Co", "Tl"], "frac_coords": [[0.000, 0.000, 0.549], [0.000, 0.000, 0.951], [0.500, 0.500, 0.750], [0.500, 0.500, 0.250]]}



(R)
{"formula": "TlCoRu2", "functional": "PBE", "state": "relaxed", "space_group": "No. 99", "cell": [[2.866, 0.000, 0.000], [0.000, 2.866, 0.000], [0.000, 0.000, 7.450]], "species": ["Co", "Ru", "Ru", "Tl"], "frac_coords": [[0.500, 0.500, 0.777], [0.500, 0.500, 0.219], [0.000, 0.000, 0.993], [0.000, 0.000, 0.511]]}



(S)
{"formula": "TlCoRu2", "functional": "PBE", "state": "relaxed", "space_group": "No. 25", "cell": [[2.834, 0.000, 0.000], [0.000, 3.670, 0.000], [0.000, 0.000, 5.930]], "species": ["Co", "Tl", "Ru", "Ru"], "frac_coords": [[0.500, 0.500, 0.782], [0.000, 0.000, 0.513], [0.500, 0.500, 0.206], [0.000, 0.000, 0.999]]}



It is (P) that is the least stable of them.



(P)
{"formula": "TlCoRu2", "functional": "PBE", "state": "relaxed", "space_group": "No. 139", "cell": [[4.835, -0.001, 0.000], [1.713, 4.522, 0.000], [-3.274, -2.260, 2.748]], "species": ["Ru", "Ru", "Tl", "Co"], "frac_coords": [[0.500, 0.500, 0.000], [0.000, 0.000, 0.000], [0.250, 0.750, 0.500], [0.750, 0.250, 0.500]]}



(Q)
{"formula": "TlCoRu2", "functional": "PBE", "state": "relaxed", "space_group": "No. 123", "cell": [[-3.483, 1.597, 0.990], [-1.722, -1.932, -2.940], [-0.703, -3.018, 2.395]], "species": ["Ru", "Ru", "Co", "Tl"], "frac_coords": [[0.000, 0.500, 0.500], [0.000, 0.000, 0.000], [0.500, 0.000, 0.500], [0.500, 0.500, 0.000]]}



It is (Q) that is the least stable of them.



(P)
{"formula": "TlCoRu2", "functional": "PBE", "state": "relaxed", "space_group": "No. 10", "cell": [[-1.030, -0.180, -3.980], [0.415, -2.838, 0.021], [-4.862, -2.379, 1.366]], "species": ["Co", "Tl", "Ru", "Ru"], "frac_coords": [[0.500, 0.750, 0.750], [0.500, 0.250, 0.250], [0.000, 0.911, 0.965], [0.000, 0.589, 0.535]]}



(Q)
{"formula": "TlCoRu2", "functional": "PBE", "state": "relaxed", "space_group": "No. 122", "cell": [[7.202, 0.000, 0.000], [0.000, 7.202, 0.000], [3.601, 3.601, 2.566]], "species": ["Co", "Co", "Ru", "Ru", "Ru", "Ru", "Tl", "Tl"], "frac_coords": [[0.500, 0.500, 0.000], [0.250, 0.750, 0.500], [0.569, 0.125, 0.250], [0.181, 0.625, 0.250], [0.375, 0.431, 0.750], [0.875, 0.819, 0.750], [0.750, 0.250, 0.500], [0.000, 0.000, 0.000]]}



(R)
{"formula": "TlCoRu2", "functional": "PBE", "state": "relaxed", "space_group": "No. 225", "cell": [[0.000, 3.116, 3.116], [3.116, 0.000, 3.116], [3.116, 3.116, 0.000]], "species": ["Ru", "Ru", "Co", "Tl"], "frac_coords": [[0.750, 0.750, 0.750], [0.250, 0.250, 0.250], [0.000, 0.000, 0.000], [0.500, 0.500, 0.500]]}



It is (Q) that is the least stable of them.